No. 1
VASP calculation (PBE) on a relaxed structure of Ca2Cd2BiPd5.

Properties
Total moment = 0.00 Bohr magnetons per cell
Formation enthalpy at 0 K = -466.9 kJ/mol of formula units
Calculated density = 8.4 g/cm³
D(E_F) = 3.10 states/eV/f.u.
Crystal system = tetragonal

The structure in CIF format:
```
data_Ca2Cd2BiPd5
_symmetry_space_group_name_H-M 'P 4/m b m'
_symmetry_Int_Tables_number 127
_symmetry_space_group_name_Hall '-P 4 2ab'
_cell_length_a 10.224
_cell_length_b 10.224
_cell_length_c 3.966
_cell_angle_alpha 90.00
_cell_angle_beta 90.00
_cell_angle_gamma 90.00
loop_
_atom_site_label
_atom_site_type_symbol
_atom_site_fract_x
_atom_site_fract_y
_atom_site_fract_z
_atom_site_occupancy
Ca1 Ca 0.173 0.327 0.000 1
Cd1 Cd 0.124 0.624 0.000 1
Bi1 Bi 0.000 0.000 0.000 1
Pd1 Pd 0.000 0.500 0.500 1
Pd2 Pd 0.066 0.799 0.500 1
```

No. 2
VASP calculation (PBE) on a relaxed structure of Ba2MgNb6N2O14.

Properties
Total moment = 0.81 Bohr magnetons per cell
E above lowest polymorph = 40 meV per atom
Calculated density = 4.7 g/cm³
D(E_F) = 5.80 states/eV/f.u.
Crystal system = monoclinic

The structure in CIF format:
```
data_Ba2MgNb6N2O14
_symmetry_space_group_name_H-M 'C 1 m 1'
_symmetry_Int_Tables_number 8
_cell_length_a 21.042
_cell_length_b 4.010
_cell_length_c 9.201
_cell_angle_alpha 90.00
_cell_angle_beta 90.15
_cell_angle_gamma 90.00
loop_
_symmetry_equiv_pos_as_xyz
'x,y,z'
'x,-y,z'
'x+1/2,y+1/2,z'
'x+1/2,-y+1/2,z'
loop_
_atom_site_label
_atom_site_type_symbol
_atom_site_fract_x
_atom_site_fract_y
_atom_site_fract_z
_atom_site_occupancy
Ba1 Ba 0.000 0.000 0.000 1
Ba2 Ba 0.142 0.000 0.515 1
Mg1 Mg 0.445 0.500 0.523 1
Nb1 Nb 0.150 0.500 0.199 1
Nb2 Nb 0.158 0.500 0.828 1
Nb3 Nb 0.253 0.000 0.028 1
Nb4 Nb 0.283 0.500 0.519 1
Nb5 Nb 0.374 0.000 0.716 1
Nb6 Nb 0.386 0.000 0.314 1
N1 N 0.223 0.500 0.672 1
N2 N 0.313 0.000 0.516 1
O1 O 0.090 0.500 0.341 1
O2 O 0.091 0.500 0.700 1
O3 O 0.098 0.500 0.022 1
O4 O 0.167 0.000 0.182 1
O5 O 0.169 0.000 0.868 1
O6 O 0.221 0.500 0.364 1
O7 O 0.231 0.500 0.023 1
O8 O 0.311 0.000 0.870 1
O9 O 0.312 0.000 0.181 1
O10 O 0.373 0.500 0.671 1
O11 O 0.382 0.500 0.355 1
O12 O 0.445 0.000 0.511 1
O13 O 0.448 0.000 0.828 1
O14 O 0.449 0.000 0.176 1
```

No. 3
VASP calculation (PBE) on a relaxed structure of Pd2RhC.

Properties
Total moment = 0.00 Bohr magnetons per cell
Formation enthalpy at 0 K = 218.9 kJ/mol of formula units
Calculated density = 9.6 g/cm³
D(E_F) = 2.35 states/eV/f.u.
Crystal system = tetragonal

The structure in CIF format:
```
data_Pd2RhC
_symmetry_space_group_name_H-M 'I -4 2 d'
_symmetry_Int_Tables_number 122
_symmetry_space_group_name_Hall 'I -4 2bw'
_cell_length_a 7.310
_cell_length_b 7.310
_cell_length_c 4.224
_cell_angle_alpha 90.00
_cell_angle_beta 90.00
_cell_angle_gamma 90.00
loop_
_atom_site_label
_atom_site_type_symbol
_atom_site_fract_x
_atom_site_fract_y
_atom_site_fract_z
_atom_site_occupancy
Pd1 Pd 0.129 0.750 0.125 1
Rh1 Rh 0.000 0.000 0.500 1
C1 C 0.000 0.000 0.000 1
```

No. 4
VASP calculation (PBE) on a relaxed structure of La2Zn4CdHg3.

Properties
Total moment = 0.00 Bohr magnetons per cell
Formation enthalpy at 0 K = -285.5 kJ/mol of formula units
Calculated density = 9.1 g/cm³
D(E_F) = 6.82 states/eV/f.u.
Crystal system = tetragonal

The structure in CIF format:
```
data_La2Zn4CdHg3
_symmetry_space_group_name_H-M 'P -4 m 2'
_symmetry_Int_Tables_number 115
_cell_length_a 4.564
_cell_length_b 4.564
_cell_length_c 11.007
_cell_angle_alpha 90.00
_cell_angle_beta 90.00
_cell_angle_gamma 90.00
loop_
_symmetry_equiv_pos_as_xyz
'x,y,z'
'y,-x,-z'
'-x,-y,z'
'-y,x,-z'
'-x,y,z'
'-y,-x,-z'
'x,-y,z'
'y,x,-z'
loop_
_atom_site_label
_atom_site_type_symbol
_atom_site_fract_x
_atom_site_fract_y
_atom_site_fract_z
_atom_site_occupancy
La1 La 0.000 0.500 0.242 1
Zn1 Zn 0.000 0.000 0.000 1
Zn2 Zn 0.000 0.500 0.637 1
Zn3 Zn 0.500 0.500 0.000 1
Cd1 Cd 0.000 0.000 0.500 1
Hg1 Hg 0.000 0.500 0.870 1
Hg2 Hg 0.500 0.500 0.500 1
```

No. 5
VASP calculation (PBE) on a relaxed structure of MnCd2Re.

Properties
Total moment = 0.00 Bohr magnetons per cell
Formation enthalpy at 0 K = 92.9 kJ/mol of formula units
E above lowest polymorph = 0 meV per atom
Calculated density = 11.5 g/cm³
D(E_F) = 2.49 states/eV/f.u.
Crystal system = monoclinic

The structure in CIF format:
```
data_MnCd2Re
_symmetry_space_group_name_H-M 'P 1 m 1'
_symmetry_Int_Tables_number 6
_cell_length_a 2.914
_cell_length_b 2.917
_cell_length_c 7.946
_cell_angle_alpha 90.00
_cell_angle_beta 90.15
_cell_angle_gamma 90.00
loop_
_symmetry_equiv_pos_as_xyz
'x,y,z'
'x,-y,z'
loop_
_atom_site_label
_atom_site_type_symbol
_atom_site_fract_x
_atom_site_fract_y
_atom_site_fract_z
_atom_site_occupancy
Mn1 Mn 0.000 0.000 0.000 1
Cd1 Cd 0.002 0.000 0.441 1
Cd2 Cd 0.499 0.500 0.748 1
Re1 Re 0.501 0.500 0.165 1
```

No. 6
VASP calculation (PBE) on a relaxed structure of Nd2DyTm.

Properties
Total moment = 0.00 Bohr magnetons per cell
Formation enthalpy at 0 K = 5.6 kJ/mol of formula units
E above lowest polymorph = 0 meV per atom
Calculated density = 7.9 g/cm³
D(E_F) = 4.41 states/eV/f.u.
Crystal system = trigonal

The structure in CIF format:
```
data_Nd2DyTm
_symmetry_space_group_name_H-M 'R -3 m'
_symmetry_Int_Tables_number 166
_symmetry_space_group_name_Hall '-R 3 2"'
_cell_length_a 3.6037
_cell_length_b 3.6037
_cell_length_c 34.9296
_cell_angle_alpha 90.00
_cell_angle_beta 90.00
_cell_angle_gamma 120.00
loop_
_atom_site_label
_atom_site_type_symbol
_atom_site_fract_x
_atom_site_fract_y
_atom_site_fract_z
_atom_site_occupancy
Nd1 Nd 0.0000 0.0000 0.2494 1
Dy1 Dy 0.0000 0.0000 0.0000 1
Tm1 Tm 0.0000 0.0000 0.5000 1
```

No. 7
VASP calculation (PBE) on a relaxed structure of Be2NiHg.

Properties
Total moment = 0.00 Bohr magnetons per cell
Formation enthalpy at 0 K = 62.6 kJ/mol of formula units
Calculated density = 9.6 g/cm³
D(E_F) = 0.98 states/eV/f.u.
Crystal system = tetragonal

The structure in CIF format:
```
data_Be2NiHg
_symmetry_space_group_name_H-M 'I -4 m 2'
_symmetry_Int_Tables_number 119
_symmetry_space_group_name_Hall 'I -4 -2'
_cell_length_a 3.515
_cell_length_b 3.515
_cell_length_c 7.787
_cell_angle_alpha 90.00
_cell_angle_beta 90.00
_cell_angle_gamma 90.00
loop_
_atom_site_label
_atom_site_type_symbol
_atom_site_fract_x
_atom_site_fract_y
_atom_site_fract_z
_atom_site_occupancy
Be1 Be 0.000 0.000 0.000 1
Be2 Be 0.000 0.500 0.250 1
Ni1 Ni 0.000 0.000 0.500 1
Hg1 Hg 0.000 0.500 0.750 1
```

No. 8
VASP calculation (PBE) on a relaxed structure of TaMoC2.

Properties
Total moment = 0.00 Bohr magnetons per cell
Formation enthalpy at 0 K = 184.8 kJ/mol of formula units
E above lowest polymorph = 704 meV per atom
Calculated density = 10.0 g/cm³
D(E_F) = 1.36 states/eV/f.u.
Crystal system = orthorhombic

The structure in CIF format:
```
data_TaMoC2
_symmetry_space_group_name_H-M 'C m m m'
_symmetry_Int_Tables_number 65
_symmetry_space_group_name_Hall '-C 2 2'
_cell_length_a 3.008
_cell_length_b 5.480
_cell_length_c 6.048
_cell_angle_alpha 90.00
_cell_angle_beta 90.00
_cell_angle_gamma 90.00
loop_
_atom_site_label
_atom_site_type_symbol
_atom_site_fract_x
_atom_site_fract_y
_atom_site_fract_z
_atom_site_occupancy
Ta1 Ta 0.000 0.000 0.000 1
Mo1 Mo 0.000 0.000 0.500 1
C1 C 0.000 0.500 0.255 1
```

No. 9
VASP calculation (PBE) on a relaxed structure of H2IrBr8.

Properties
Total moment = 5.05 Bohr magnetons per cell
Calculated density = 3.8 g/cm³
Raw total energy = -2.710 eV/atom
D(E_F) = 10.65 states/eV/f.u.
Crystal system = monoclinic

The structure in CIF format:
```
data_H2IrBr8
_symmetry_space_group_name_H-M 'C 1 2/m 1'
_symmetry_Int_Tables_number 12
_cell_length_a 14.267
_cell_length_b 9.187
_cell_length_c 5.608
_cell_angle_alpha 90.00
_cell_angle_beta 90.26
_cell_angle_gamma 90.00
loop_
_symmetry_equiv_pos_as_xyz
'x,y,z'
'-x,-y,-z'
'-x,y,-z'
'x,-y,z'
'x+1/2,y+1/2,z'
'-x+1/2,-y+1/2,-z'
'-x+1/2,y+1/2,-z'
'x+1/2,-y+1/2,z'
loop_
_atom_site_label
_atom_site_type_symbol
_atom_site_fract_x
_atom_site_fract_y
_atom_site_fract_z
_atom_site_occupancy
H1 H 0.241 0.000 0.199 1
Ir1 Ir 0.000 0.500 0.000 1
Br1 Br 0.076 0.310 0.754 1
Br2 Br 0.137 0.500 0.268 1
Br3 Br 0.141 0.000 0.247 1
```

No. 10
VASP calculation (PBE) on a relaxed structure of LiCu.

Properties
Total moment = 0.00 Bohr magnetons per cell
Formation enthalpy at 0 K = 133.8 kJ/mol of formula units
Calculated density = 2.6 g/cm³
Crystal system = cubic

The structure in CIF format:
```
data_LiCu
_symmetry_space_group_name_H-M 'F -4 3 m'
_symmetry_Int_Tables_number 216
_symmetry_space_group_name_Hall 'F -4 2 3'
_cell_length_a 5.663
_cell_length_b 5.663
_cell_length_c 5.663
_cell_angle_alpha 90.00
_cell_angle_beta 90.00
_cell_angle_gamma 90.00
loop_
_atom_site_label
_atom_site_type_symbol
_atom_site_fract_x
_atom_site_fract_y
_atom_site_fract_z
_atom_site_occupancy
Li1 Li 0.000 0.000 0.000 1
Cu1 Cu 0.250 0.250 0.750 1
```

No. 11
VASP calculation (PBE) on a relaxed structure of HfTiH2.

Properties
Total moment = 0.00 Bohr magnetons per cell
E above lowest polymorph = 34 meV per atom
Calculated density = 9.1 g/cm³
D(E_F) = 3.35 states/eV/f.u.
Crystal system = trigonal

The structure in CIF format:
```
data_HfTiH2
_symmetry_space_group_name_H-M 'R -3 m'
_symmetry_Int_Tables_number 166
_symmetry_space_group_name_Hall '-R 3 2"'
_cell_length_a 3.0939
_cell_length_b 3.0939
_cell_length_c 15.0534
_cell_angle_alpha 90.00
_cell_angle_beta 90.00
_cell_angle_gamma 120.00
loop_
_atom_site_label
_atom_site_type_symbol
_atom_site_fract_x
_atom_site_fract_y
_atom_site_fract_z
_atom_site_occupancy
Hf1 Hf 0.0000 0.0000 0.0000 1
Ti1 Ti 0.0000 0.0000 0.5000 1
H1 H 0.0000 0.0000 0.2409 1
```

No. 12
VASP calculation (PBE) on a relaxed structure of Hf3GeSb.

Properties
Total moment = 0.00 Bohr magnetons per cell
E above lowest polymorph = 703 meV per atom
Calculated density = 9.9 g/cm³
D(E_F) = 4.69 states/eV/f.u.
Crystal system = cubic

The structure in CIF format:
```
data_Hf3GeSb
_symmetry_space_group_name_H-M 'P m -3 m'
_symmetry_Int_Tables_number 221
_symmetry_space_group_name_Hall '-P 4 2 3'
_cell_length_a 4.966
_cell_length_b 4.966
_cell_length_c 4.966
_cell_angle_alpha 90.00
_cell_angle_beta 90.00
_cell_angle_gamma 90.00
loop_
_atom_site_label
_atom_site_type_symbol
_atom_site_fract_x
_atom_site_fract_y
_atom_site_fract_z
_atom_site_occupancy
Hf1 Hf 0.000 0.000 0.500 1
Ge1 Ge 0.000 0.000 0.000 1
Sb1 Sb 0.500 0.500 0.500 1
```